[1]
The following is a DFT calculation (PBE-GGA) of Mn2ZnPt9 after structural relaxation.

Volume (Å³/cell): 182
Total magnetization (μB per atom): 0.671
ΔE_f (eV/atom): -0.35
DOS at the Fermi energy (states/eV/f.u.): 12.3
Electronic total energy (eV/cell): -78.23
Symmetry: P4/mmm (123)

Unit cell a=3.9322 b=3.9322 c=11.7627 alpha=90.00 beta=90.00 gamma=90.00
Fractional coordinates of all 12 atoms:
Mn 0.0000 0.0000 0.1677
Mn 0.0000 0.0000 0.8323
Zn 0.0000 0.0000 0.5000
Pt 0.0000 0.5000 0.0000
Pt 0.0000 0.5000 0.3325
Pt 0.0000 0.5000 0.6675
Pt 0.5000 0.0000 0.0000
Pt 0.5000 0.0000 0.3325
Pt 0.5000 0.0000 0.6675
Pt 0.5000 0.5000 0.1667
Pt 0.5000 0.5000 0.5000
Pt 0.5000 0.5000 0.8333



[2]
The following is a DFT calculation (PBE-GGA) of MnZnPt6 after structural relaxation.

Volume (Å³/cell): 121
Total magnetization (μB per atom): 0.507
ΔE_f (eV/atom): -0.35
DOS at the Fermi energy (states/eV/f.u.): 9.0
Electronic total energy (eV/cell): -49.49
Symmetry: P4/mmm (123)

Unit cell a=3.9356 b=3.9356 c=7.8329 alpha=90.00 beta=90.00 gamma=90.00
Fractional coordinates of all 8 atoms:
Mn 0.0000 0.0000 0.0000
Zn 0.0000 0.0000 0.5000
Pt 0.0000 0.5000 0.2491
Pt 0.0000 0.5000 0.7509
Pt 0.5000 0.0000 0.2491
Pt 0.5000 0.0000 0.7509
Pt 0.5000 0.5000 0.0000
Pt 0.5000 0.5000 0.5000



[3]
The following is a DFT calculation (PBE-GGA) of MnZnPt after structural relaxation.

Volume (Å³/cell): 55
Total magnetization (μB per atom): 1.425
ΔE_f (eV/atom): -0.13
DOS at the Fermi energy (states/eV/f.u.): 1.4
Electronic total energy (eV/cell): -16.88
Symmetry: P2/m (10)

Unit cell a=4.3257 b=2.8391 c=4.4805 alpha=90.00 beta=90.41 gamma=90.00
Fractional coordinates of all 3 atoms:
Mn 0.0000 0.0000 0.0000
Zn 0.5000 0.0000 0.5000
Pt 0.0000 0.5000 0.5000



[4]
The following is a DFT calculation (PBE-GGA) of Mn3ZnPt after structural relaxation.

Volume (Å³/cell): 75
E above lowest polymorph (meV/atom): 848
Total magnetization (μB per atom): 0.068
ΔE_f (eV/atom): 1.63
DOS at the Fermi energy (states/eV/f.u.): 10.4
Electronic total energy (eV/cell): -26.70
Symmetry: Pm-3m (221)

Unit cell a=4.2247 b=4.2247 c=4.2247 alpha=90.00 beta=90.00 gamma=90.00
Fractional coordinates of all 5 atoms:
Mn 0.0000 0.0000 0.5000
Mn 0.0000 0.5000 0.0000
Mn 0.5000 0.0000 0.0000
Zn 0.0000 0.0000 0.0000
Pt 0.5000 0.5000 0.5000



[5]
The following is a DFT calculation (PBE-GGA) of Mn2ZnPt4 after structural relaxation.

Volume (Å³/cell): 114
Total magnetization (μB per atom): 1.255
ΔE_f (eV/atom): -0.28
DOS at the Fermi energy (states/eV/f.u.): 5.0
Electronic total energy (eV/cell): -45.77
Symmetry: Cmmm (65)

Unit cell a=5.3476 b=5.3476 c=3.9848 alpha=90.00 beta=90.00 gamma=92.89
Fractional coordinates of all 7 atoms:
Mn 0.2168 0.7832 0.0000
Mn 0.7832 0.2168 0.0000
Zn 0.5000 0.5000 0.5000
Pt 0.0000 0.5000 0.5000
Pt 0.2730 0.2730 0.0000
Pt 0.5000 0.0000 0.5000
Pt 0.7270 0.7270 0.0000



[6]
The following is a DFT calculation (PBE-GGA) of MnZn3Pt6 after structural relaxation.

Volume (Å³/cell): 300
Total magnetization (μB per atom): 0.443
ΔE_f (eV/atom): -0.40
DOS at the Fermi energy (states/eV/f.u.): 5.2
Electronic total energy (eV/cell): -106.50
Symmetry: P2_1/m (11)

Unit cell a=7.3577 b=4.5171 c=9.7386 alpha=90.00 beta=111.91 gamma=90.00
Fractional coordinates of all 20 atoms:
Mn 0.0410 0.2500 0.4184
Mn 0.9590 0.7500 0.5816
Zn 0.2269 0.2500 0.0231
Zn 0.3700 0.7500 0.7827
Zn 0.4542 0.2500 0.6256
Zn 0.5458 0.7500 0.3744
Zn 0.6300 0.2500 0.2173
Zn 0.7731 0.7500 0.9769
Pt 0.0710 0.7500 0.8697
Pt 0.1482 0.2500 0.7102
Pt 0.1555 0.7500 0.1786
Pt 0.2576 0.7500 0.4896
Pt 0.3376 0.2500 0.3268
Pt 0.4638 0.7500 0.0769
Pt 0.5362 0.2500 0.9231
Pt 0.6624 0.7500 0.6732
Pt 0.7424 0.2500 0.5104
Pt 0.8445 0.2500 0.8214
Pt 0.8518 0.7500 0.2898
Pt 0.9290 0.2500 0.1303



[7]
The following is a DFT calculation (PBE-GGA) of MnZn2Pt8 after structural relaxation.

Volume (Å³/cell): 167
Total magnetization (μB per atom): 0.418
ΔE_f (eV/atom): -0.32
DOS at the Fermi energy (states/eV/f.u.): 9.0
Electronic total energy (eV/cell): -63.59
Symmetry: C2/m (12)

Unit cell a=7.3101 b=7.3101 c=6.2496 alpha=105.79 beta=105.79 gamma=31.49
Fractional coordinates of all 11 atoms:
Mn 0.0000 0.0000 0.0000
Zn 0.2740 0.2740 0.3566
Zn 0.7260 0.7260 0.6434
Pt 0.0961 0.0961 0.4539
Pt 0.1800 0.1800 0.9176
Pt 0.3615 0.3615 0.8102
Pt 0.4542 0.4542 0.2740
Pt 0.5458 0.5458 0.7260
Pt 0.6385 0.6385 0.1898
Pt 0.8200 0.8200 0.0824
Pt 0.9039 0.9039 0.5461



[8]
The following is a DFT calculation (PBE-GGA) of Mn2Zn2Pt after structural relaxation.

Volume (Å³/cell): 137
Total magnetization (μB per atom): 0.497
ΔE_f (eV/atom): 0.19
DOS at the Fermi energy (states/eV/f.u.): 3.0
Electronic total energy (eV/cell): -51.94
Symmetry: P4/mbm (127)

Unit cell a=6.9622 b=6.9622 c=2.8204 alpha=90.00 beta=90.00 gamma=90.00
Fractional coordinates of all 10 atoms:
Mn 0.1025 0.3975 0.0000
Mn 0.3975 0.8975 0.0000
Mn 0.6025 0.1025 0.0000
Mn 0.8975 0.6025 0.0000
Zn 0.1922 0.6922 0.5000
Zn 0.3078 0.1922 0.5000
Zn 0.6922 0.8078 0.5000
Zn 0.8078 0.3078 0.5000
Pt 0.0000 0.0000 0.0000
Pt 0.5000 0.5000 0.0000



[9]
The following is a DFT calculation (PBE-GGA) of MnZn3Pt3 after structural relaxation.

Volume (Å³/cell): 223
Total magnetization (μB per atom): 0.592
ΔE_f (eV/atom): -0.39
DOS at the Fermi energy (states/eV/f.u.): 3.2
Electronic total energy (eV/cell): -67.70
Symmetry: Cmmm (65)

Unit cell a=6.2356 b=6.2356 c=5.7392 alpha=90.00 beta=90.00 gamma=90.82
Fractional coordinates of all 14 atoms:
Mn 0.2394 0.2394 0.0000
Mn 0.7606 0.7606 0.0000
Zn 0.2332 0.2332 0.5000
Zn 0.2347 0.7653 0.5000
Zn 0.2407 0.7593 0.0000
Zn 0.7593 0.2407 0.0000
Zn 0.7653 0.2347 0.5000
Zn 0.7668 0.7668 0.5000
Pt 0.0000 0.5000 0.2522
Pt 0.0000 0.5000 0.7478
Pt 0.5000 0.0000 0.2522
Pt 0.5000 0.0000 0.7478
Pt 0.5000 0.5000 0.2526
Pt 0.5000 0.5000 0.7474



[10]
The following is a DFT calculation (PBE-GGA) of Mn2ZnPt5 after structural relaxation.

Volume (Å³/cell): 240
Total magnetization (μB per atom): 1.098
ΔE_f (eV/atom): -0.45
DOS at the Fermi energy (states/eV/f.u.): 4.0
Electronic total energy (eV/cell): -106.80
Symmetry: Pbam (55)

Unit cell a=5.5183 b=10.9787 c=3.9594 alpha=90.00 beta=90.00 gamma=90.00
Fractional coordinates of all 16 atoms:
Mn 0.2242 0.1309 0.0000
Mn 0.2758 0.6309 0.0000
Mn 0.7242 0.3691 0.0000
Mn 0.7758 0.8691 0.0000
Zn 0.0000 0.5000 0.5000
Zn 0.5000 0.0000 0.5000
Pt 0.0000 0.0000 0.5000
Pt 0.0270 0.7457 0.5000
Pt 0.2264 0.3828 0.0000
Pt 0.2736 0.8828 0.0000
Pt 0.4730 0.2457 0.5000
Pt 0.5000 0.5000 0.5000
Pt 0.5270 0.7543 0.5000
Pt 0.7264 0.1172 0.0000
Pt 0.7736 0.6172 0.0000
Pt 0.9730 0.2543 0.5000



[11]
The following is a DFT calculation (PBE-GGA) of MnZn7Pt4 after structural relaxation.

Volume (Å³/cell): 199
Total magnetization (μB per atom): 0.325
ΔE_f (eV/atom): -0.17
DOS at the Fermi energy (states/eV/f.u.): 5.6
Electronic total energy (eV/cell): -44.35
Symmetry: C2/m (12)

Unit cell a=6.6272 b=6.6272 c=8.9414 alpha=125.46 beta=125.46 gamma=40.24
Fractional coordinates of all 12 atoms:
Mn 0.0000 0.0000 0.0000
Zn 0.0604 0.0604 0.3458
Zn 0.2107 0.2107 0.8558
Zn 0.3217 0.3217 0.3788
Zn 0.5000 0.5000 0.0000
Zn 0.6783 0.6783 0.6212
Zn 0.7893 0.7893 0.1442
Zn 0.9396 0.9396 0.6542
Pt 0.3008 0.3008 0.6530
Pt 0.4255 0.4255 0.2109
Pt 0.5745 0.5745 0.7891
Pt 0.6992 0.6992 0.3470



[12]
The following is a DFT calculation (PBE-GGA) of Mn3ZnPt6 after structural relaxation.

Volume (Å³/cell): 302
Total magnetization (μB per atom): 1.310
ΔE_f (eV/atom): -0.37
DOS at the Fermi energy (states/eV/f.u.): 6.4
Electronic total energy (eV/cell): -137.42
Symmetry: P2_1/m (11)

Unit cell a=7.3551 b=4.5465 c=9.7448 alpha=90.00 beta=112.10 gamma=90.00
Fractional coordinates of all 20 atoms:
Mn 0.0431 0.2500 0.3774
Mn 0.1294 0.7500 0.2181
Mn 0.2773 0.2500 0.9827
Mn 0.7227 0.7500 0.0173
Mn 0.8706 0.2500 0.7819
Mn 0.9569 0.7500 0.6226
Zn 0.4585 0.2500 0.5781
Zn 0.5415 0.7500 0.4219
Pt 0.0387 0.7500 0.9245
Pt 0.1640 0.2500 0.6762
Pt 0.2426 0.7500 0.5122
Pt 0.3430 0.7500 0.8241
Pt 0.3496 0.2500 0.2870
Pt 0.4313 0.7500 0.1334
Pt 0.5687 0.2500 0.8666
Pt 0.6504 0.7500 0.7130
Pt 0.6570 0.2500 0.1759
Pt 0.7574 0.2500 0.4878
Pt 0.8360 0.7500 0.3238
Pt 0.9613 0.2500 0.0755